## SrSb2Pt (PBE-GGA)

Data for a relaxed structure of SrSb2Pt.

crystal system	tetragonal
ρ	8400	kg/m³
formation energy from raw total energies	-255	meV per atom
total energy	-34.0	eV per cell

Cell and atoms, written as CIF:
```
data_SrSb2Pt
_cell_length_a 4.432
_cell_length_b 4.432
_cell_length_c 10.590
_cell_angle_alpha 90.00
_cell_angle_beta 90.00
_cell_angle_gamma 90.00
_space_group_name_H-M_alt 'I 4/m m m'
_space_group_IT_number 139
_space_group_name_Hall '-I 4 2'
loop_
_atom_site_label
_atom_site_type_symbol
_atom_site_fract_x
_atom_site_fract_y
_atom_site_fract_z
_atom_site_occupancy
Sr1 Sr 0.000 0.000 0.000 1
Sb1 Sb 0.000 0.500 0.250 1
Pt1 Pt 0.000 0.000 0.500 1
```